(1)
# CeBiSbAu

A relaxed structure of CeBiSbAu (GGA-PBE, Alexandria via LeMat-Bulk).

Results
The value obtained for the uncorrected formation energy is -430 meV/atom.

a = 5.3280 Å, b = 5.3280 Å, c = 5.3280 Å
α = 60.00°, β = 60.00°, γ = 60.00°
Site moments in Bohr magnetons follow the coordinates.
Atoms (fractional coordinates):
Sb1 0.5000 0.5000 0.5000  0.01
Au1 0.0000 0.0000 0.0000  -0.01
Bi1 0.2500 0.2500 0.2500  0.01
Ce1 0.7500 0.7500 0.7500  0.61

=====

(2)
# CeScBiAu

A relaxed structure of CeScBiAu (GGA-PBE, Alexandria via LeMat-Bulk).

Results
As for the calculated formation energy: -0.548 eV per atom.

a = 5.2455 Å, b = 5.2455 Å, c = 5.2455 Å
α = 60.00°, β = 60.00°, γ = 60.00°
Site moments in Bohr magnetons follow the coordinates.
Atoms (fractional coordinates):
Sc1 0.7500 0.7500 0.7500  0.57
Au1 0.0000 0.0000 0.0000  0.05
Bi1 0.5000 0.5000 0.5000  -0.02
Ce1 0.2500 0.2500 0.2500  1.06

=====

(3)
# CeThBiAu

A relaxed structure of CeThBiAu (GGA-PBE, Alexandria via LeMat-Bulk).

Results
As for the calculated formation energy: -0.478 eV per atom.

a = 5.4235 Å, b = 5.4235 Å, c = 5.4235 Å
α = 60.00°, β = 60.00°, γ = 60.00°
Site moments in Bohr magnetons follow the coordinates.
Atoms (fractional coordinates):
Ce1 0.0000 0.0000 0.0000  0.95
Au1 0.2500 0.2500 0.2500  0.01
Bi1 0.7500 0.7500 0.7500  0.00
Th1 0.5000 0.5000 0.5000  0.22

=====

(4)
# CeZnBiAu

A relaxed structure of CeZnBiAu (GGA-PBE, Alexandria via LeMat-Bulk).

Results
As for the calculated formation energy: -0.390 eV per atom.

a = 5.1369 Å, b = 5.1369 Å, c = 5.1369 Å
α = 60.00°, β = 60.00°, γ = 60.00°
Site moments in Bohr magnetons follow the coordinates.
Atoms (fractional coordinates):
Zn1 0.0000 0.0000 0.0000  0.01
Au1 0.5000 0.5000 0.5000  -0.01
Bi1 0.2500 0.2500 0.2500  -0.01
Ce1 0.7500 0.7500 0.7500  0.74

=====

(5)
# BiAuCl2

A relaxed structure of BiAuCl2 (GGA-PBE, Alexandria via LeMat-Bulk).

Results
The value obtained for the uncorrected formation energy is -310 meV/atom. For the relative energy among the computed polymorphs, the calculation gives 0.000 eV/atom.

a = 9.8628 Å, b = 9.8628 Å, c = 7.4884 Å
α = 48.81°, β = 48.81°, γ = 90.00°
Atoms (fractional coordinates):
Au1 0.5000 0.5000 0.0000
Au2 0.2500 0.7500 0.5000
Bi1 0.0000 0.0000 0.0000
Bi2 0.7500 0.2500 0.5000
Cl1 0.7588 0.1250 0.2500
Cl2 0.9912 0.6250 0.2500
Cl3 0.3750 0.2412 0.7500
Cl4 0.8750 0.0088 0.7500

=====

(6)
# BiAuCl3

A relaxed structure of BiAuCl3 (GGA-PBE, Alexandria via LeMat-Bulk).

Results
The value obtained for the uncorrected formation energy is 43 meV/atom. For the relative energy among the computed polymorphs, the calculation gives 0.199 eV/atom.

a = 5.0775 Å, b = 5.0775 Å, c = 5.0775 Å
α = 90.00°, β = 90.00°, γ = 90.00°
Atoms (fractional coordinates):
Au1 0.0000 0.0000 0.0000
Bi1 0.5000 0.5000 0.5000
Cl1 0.0000 0.5000 0.0000
Cl2 0.0000 0.0000 0.5000
Cl3 0.5000 0.0000 0.0000

=====

(7)
# BiAuCl4

A relaxed structure of BiAuCl4 (GGA-PBE, Alexandria via LeMat-Bulk).

Results
The value obtained for the uncorrected formation energy is -697 meV/atom.

a = 7.1178 Å, b = 7.2075 Å, c = 9.8755 Å
α = 103.23°, β = 102.86°, γ = 112.18°
Atoms (fractional coordinates):
Bi1 0.8092 0.0592 0.1184
Bi2 0.1908 0.9408 0.8816
Au1 0.4170 0.6670 0.3339
Au2 0.5830 0.3330 0.6661
Cl1 0.2720 0.0505 0.6435
Cl2 0.0285 0.8166 0.0913
Cl3 0.1285 0.4071 0.3565
Cl4 0.4371 0.7253 0.9087
Cl5 0.7280 0.9495 0.3565
Cl6 0.8715 0.5929 0.6435
Cl7 0.9715 0.1834 0.9087
Cl8 0.5629 0.2747 0.0913

=====

(8)
# BiAuCl3

A relaxed structure of BiAuCl3 (GGA-PBE, Alexandria via LeMat-Bulk).

Results
The value obtained for the uncorrected formation energy is -156 meV/atom. For the relative energy among the computed polymorphs, the calculation gives 0.000 eV/atom.

a = 5.4273 Å, b = 5.4273 Å, c = 5.4273 Å
α = 90.00°, β = 90.00°, γ = 90.00°
Site moments in Bohr magnetons follow the coordinates.
Atoms (fractional coordinates):
Au1 0.5000 0.5000 0.5000  0.41
Bi1 0.0000 0.0000 0.0000  0.01
Cl1 0.0000 0.5000 0.0000  0.03
Cl2 0.0000 0.0000 0.5000  0.02
Cl3 0.5000 0.0000 0.0000  0.02

=====

What calculated density values result from the calculations? In sequence: 10.37; 9.62; 11.45; 10.59; 5.97; 6.50; 4.24; 5.32 Mg/m³.